[1]
Below is BeTe2W after structural relaxation, with properties calculated at the PBE level.

Computed properties:
SG: Immm, No. 71
Uncorrected formation energy: 0.250 eV/atom

The structure in extended XYZ format:
```
4
Lattice="-2.072 7.198 -1.524 -5.487 5.140 1.380 5.001 -5.397 2.071" Properties=species:S:1:pos:R:3 pbc="T T T"
Te -0.784 1.280 -0.015
Be -2.133 2.956 1.689
Te -2.995 4.889 -0.057
W -0.425 3.985 0.237
```

=====

[2]
Below is BeTe2W after structural relaxation, with properties calculated at the PBE level.

Computed properties:
SG: P4/mmm, No. 123
Uncorrected formation energy: 0.694 eV/atom

The structure in extended XYZ format:
```
4
Lattice="-2.979 0.710 -1.252 -0.306 -3.124 -1.045 -2.951 -1.731 6.038" Properties=species:S:1:pos:R:3 pbc="T T T"
Te -0.018 -0.010 0.036
Te -1.458 -0.855 2.982
Be -3.856 -2.505 3.380
W -2.380 -1.640 0.361
```

=====

[3]
Below is Be2TeW after structural relaxation, with properties calculated at the PBE level.

Computed properties:
SG: F-43m, No. 216
Uncorrected formation energy: 1.021 eV/atom

The structure in extended XYZ format:
```
4
Lattice="-2.733 3.430 -0.459 -2.539 1.263 3.377 0.843 3.787 2.096" Properties=species:S:1:pos:R:3 pbc="T T T"
Te -2.215 4.240 2.507
Be -1.107 2.120 1.253
Be 0.000 0.000 0.000
W -3.322 6.360 3.760
```

=====

[4]
Below is BeTeW after structural relaxation, with properties calculated at the PBE level.

Computed properties:
Energy above the most stable polymorph in this dataset: 2.14 eV per formula unit
SG: F-43m, No. 216
Uncorrected formation energy: 1.086 eV/atom

The structure in extended XYZ format:
```
3
Lattice="-3.647 1.452 1.372 -0.734 0.251 4.085 -0.194 3.718 1.853" Properties=species:S:1:pos:R:3 pbc="T T T"
Te 0.000 0.000 0.000
Be -1.144 1.355 1.827
W -2.288 2.710 3.655
```

=====

[5]
Below is YBe2Te after structural relaxation, with properties calculated at the PBE level.

Computed properties:
Energy above the most stable polymorph in this dataset: 0.65 eV per formula unit
SG: C2/m, No. 12
Uncorrected formation energy: 0.125 eV/atom

The structure in extended XYZ format:
```
4
Lattice="4.577 -0.022 0.015 3.059 3.405 0.015 2.033 0.901 4.879" Properties=species:S:1:pos:R:3 pbc="T T T"
Te 7.252 3.212 3.682
Be 5.012 2.220 3.061
Y 2.417 1.071 1.227
Be 1.856 0.822 4.272
```

=====

[6]
Below is YBe2Te after structural relaxation, with properties calculated at the PBE level.

Computed properties:
Energy above the most stable polymorph in this dataset: 0.80 eV per formula unit
SG: P4/mmm, No. 123
Uncorrected formation energy: 0.162 eV/atom

The structure in extended XYZ format:
```
4
Lattice="3.465 0.000 0.000 0.000 3.464 0.000 0.000 0.000 6.207" Properties=species:S:1:pos:R:3 pbc="T T T"
Te 1.732 1.732 1.552
Be 0.000 0.000 0.412
Be 0.000 0.000 2.692
Y 1.732 1.732 4.655
```

=====

[7]
Below is YBe2Te after structural relaxation, with properties calculated at the PBE level.

Computed properties:
Energy above the most stable polymorph in this dataset: 1.43 eV per formula unit
SG: R-3m, No. 166
Uncorrected formation energy: 0.319 eV/atom

The structure in extended XYZ format:
```
4
Lattice="-2.303 3.252 5.686 -1.521 -0.369 6.764 1.332 2.208 6.446" Properties=species:S:1:pos:R:3 pbc="T T T"
Be -2.459 5.025 18.655
Y -1.868 3.817 14.173
Be -1.278 2.610 9.691
Te -0.623 1.272 4.724
```

=====

[8]
Below is Y2BeTe after structural relaxation, with properties calculated at the PBE level.

Computed properties:
Energy above the most stable polymorph in this dataset: 0.90 eV per formula unit
SG: C2/m, No. 12
Uncorrected formation energy: -0.334 eV/atom

The structure in extended XYZ format:
```
4
Lattice="7.546 0.016 0.039 -2.904 4.294 -0.027 1.739 1.204 2.977" Properties=species:S:1:pos:R:3 pbc="T T T"
Te 2.321 2.155 0.006
Be -0.582 2.749 1.475
Y 4.642 0.610 1.508
Y 0.000 0.000 0.000
```

=====

Number 5 is which compound?
YBe2Te

=====

Which of these has the lowest uncorrected formation energy?
Y2BeTe